No. 1
DFT (PBEsol) results for TaNiI3 after structural relaxation.

a = 5.4148 Å, b = 5.4148 Å, c = 5.4148 Å
α = 90.00°, β = 90.00°, γ = 90.00°
Space group Pm-3m (No. 221)
Asymmetric unit:
Ta (0.0000, 0.0000, 0.0000) (multiplicity 1)
Ni (0.5000, 0.5000, 0.5000) (multiplicity 1)
I (0.0000, 0.0000, 0.5000) (multiplicity 3)

Results
E_form (uncorrected) = 4.785 eV/f.u.

***

No. 2
DFT (PBEsol) results for YCoGe3 after structural relaxation.

a = 4.5472 Å, b = 4.5472 Å, c = 4.5472 Å
α = 90.00°, β = 90.00°, γ = 90.00°
Space group Pm-3m (No. 221)
Asymmetric unit:
Y (0.0000, 0.0000, 0.0000) (multiplicity 1)
Co (0.5000, 0.5000, 0.5000) (multiplicity 1)
Ge (0.0000, 0.5000, 0.5000) (multiplicity 3)

Results
Energy of formation = -135 meV per atom

***

No. 3
DFT (PBEsol) results for KGdP2H4O9 after structural relaxation.

a = 7.7953 Å, b = 10.4109 Å, c = 10.1300 Å
α = 90.00°, β = 93.43°, γ = 90.00°
Space group P2_1/c (No. 14)
Asymmetric unit:
K (0.2474, 0.2238, 0.1702) (multiplicity 4)
Gd (0.2533, 0.6105, 0.3245) (multiplicity 4)
P (0.0287, 0.6581, 0.6141) (multiplicity 4)
P (0.3853, 0.6066, 0.6666) (multiplicity 4)
H (0.1546, 0.5805, 0.0448) (multiplicity 4)
H (0.3025, 0.0291, 0.5382) (multiplicity 4)
H (0.4330, 0.0791, 0.3662) (multiplicity 4)
H (0.4699, 0.1986, 0.4614) (multiplicity 4)
O (0.0477, 0.7196, 0.1964) (multiplicity 4)
O (0.0531, 0.6825, 0.4679) (multiplicity 4)
O (0.1368, 0.0868, 0.8614) (multiplicity 4)
O (0.1844, 0.5616, 0.6668) (multiplicity 4)
O (0.2346, 0.5272, 0.0987) (multiplicity 4)
O (0.3853, 0.1285, 0.4402) (multiplicity 4)
O (0.4115, 0.7162, 0.7655) (multiplicity 4)
O (0.4176, 0.6482, 0.5254) (multiplicity 4)
O (0.4817, 0.0144, 0.2132) (multiplicity 4)

***

No. 4
DFT (PBEsol) results for CaTc2Se after structural relaxation.

a = 3.0820 Å, b = 3.0820 Å, c = 25.4048 Å
α = 90.00°, β = 90.00°, γ = 120.00°
Space group R-3m (No. 166, hexagonal axes)
Asymmetric unit:
Ca (0.0000, 0.0000, 0.0000) (multiplicity 3)
Tc (0.0000, 0.0000, 0.2351) (multiplicity 6)
Se (0.0000, 0.0000, 0.5000) (multiplicity 3)

Results
E_form (uncorrected) = 1.977 eV/f.u.

***

No. 5
DFT (PBEsol) results for TlZnCl after structural relaxation.

a = 3.6131 Å, b = 5.7164 Å, c = 13.9022 Å
α = 90.00°, β = 90.00°, γ = 90.00°
Space group Fmm2 (No. 42)
Asymmetric unit:
Tl (0.0000, 0.0000, 0.0000) (multiplicity 4)
Zn (0.0000, 0.0000, 0.3320) (multiplicity 4)
Cl (0.0000, 0.0000, 0.7200) (multiplicity 4)

Results
E_form (uncorrected) = -0.883 eV/f.u.

***

No. 6
DFT (PBEsol) results for AlRe2Os after structural relaxation.

a = 3.0063 Å, b = 4.2364 Å, c = 4.4564 Å
α = 90.00°, β = 90.00°, γ = 90.00°
Space group Pmmm (No. 47)
Asymmetric unit:
Al (0.0000, 0.0000, 0.0000) (multiplicity 1)
Re (0.0000, 0.5000, 0.5000) (multiplicity 1)
Re (0.5000, 0.0000, 0.5000) (multiplicity 1)
Os (0.5000, 0.5000, 0.0000) (multiplicity 1)

Results
Energy of formation = 21 meV per atom

***

No. 7
DFT (PBEsol) results for SiS after structural relaxation.

a = 6.5506 Å, b = 7.6453 Å, c = 3.9132 Å
α = 90.00°, β = 90.00°, γ = 90.00°
Space group Pmna (No. 53)
Asymmetric unit:
Si (0.2500, 0.0859, 0.2500) (multiplicity 4)
S (0.0000, 0.2632, 0.1556) (multiplicity 4)

Results
E_form (uncorrected) = -0.846 eV/f.u.

***

No. 8
DFT (PBEsol) results for Cd22Ag after structural relaxation.

a = 15.7498 Å, b = 15.7498 Å, c = 15.7498 Å
α = 90.00°, β = 90.00°, γ = 90.00°
Space group Fd-3m (No. 227, origin choice 2)
Asymmetric unit:
Cd (0.0000, 0.0000, 0.0000) (multiplicity 16)
Cd (0.0000, 0.0000, 0.5000) (multiplicity 16)
Cd (0.0183, 0.3750, 0.3750) (multiplicity 48)
Cd (0.0623, 0.0623, 0.8168) (multiplicity 96)
Ag (0.1250, 0.1250, 0.6250) (multiplicity 8)

Results
Energy of formation = 81 meV per atom

***

No. 9
DFT (PBEsol) results for TiCo2GeCl after structural relaxation.

a = 4.3083 Å, b = 4.3083 Å, c = 4.9520 Å
α = 90.00°, β = 90.00°, γ = 90.00°
Space group P4/mmm (No. 123)
Asymmetric unit:
Ti (0.0000, 0.0000, 0.0000) (multiplicity 1)
Co (0.0000, 0.5000, 0.5000) (multiplicity 2)
Ge (0.0000, 0.0000, 0.5000) (multiplicity 1)
Cl (0.5000, 0.5000, 0.0000) (multiplicity 1)

Results
E_form (uncorrected) = 3.767 eV/f.u.

***

No. 10
DFT (PBEsol) results for Ir3Ru after structural relaxation.

a = 5.3917 Å, b = 7.6229 Å, c = 2.6970 Å
α = 90.00°, β = 90.00°, γ = 90.00°
Space group Cmmm (No. 65)
Asymmetric unit:
Ir (0.0000, 0.0000, 0.0000) (multiplicity 2)
Ir (0.2500, 0.2500, 0.5000) (multiplicity 4)
Ru (0.0000, 0.5000, 0.0000) (multiplicity 2)

Results
Energy of formation = -21 meV per atom

***

No. 11
DFT (PBEsol) results for LaCr3Mo after structural relaxation.

a = 4.3557 Å, b = 4.3557 Å, c = 4.3557 Å
α = 90.00°, β = 90.00°, γ = 90.00°
Space group Pm-3m (No. 221)
Asymmetric unit:
La (0.0000, 0.0000, 0.0000) (multiplicity 1)
Cr (0.0000, 0.0000, 0.5000) (multiplicity 3)
Mo (0.5000, 0.5000, 0.5000) (multiplicity 1)

Results
Energy of formation = 2188 meV per atom

***

No. 12
DFT (PBEsol) results for RbHfMo3 after structural relaxation.

a = 4.9276 Å, b = 4.9276 Å, c = 4.9276 Å
α = 90.00°, β = 90.00°, γ = 90.00°
Space group Pm-3m (No. 221)
Asymmetric unit:
Rb (0.0000, 0.0000, 0.0000) (multiplicity 1)
Hf (0.5000, 0.5000, 0.5000) (multiplicity 1)
Mo (0.0000, 0.5000, 0.5000) (multiplicity 3)

Results
Energy of formation = 2308 meV per atom

***

No. 13
DFT (PBEsol) results for CoTe2As after structural relaxation.

a = 3.7776 Å, b = 3.7776 Å, c = 19.7705 Å
α = 90.00°, β = 90.00°, γ = 120.00°
Space group R-3m (No. 166, hexagonal axes)
Asymmetric unit:
Co (0.0000, 0.0000, 0.0000) (multiplicity 3)
Te (0.0000, 0.0000, 0.2644) (multiplicity 6)
As (0.0000, 0.0000, 0.5000) (multiplicity 3)

Results
E_form (uncorrected) = 0.367 eV/f.u.

***

No. 14
DFT (PBEsol) results for KTl2 after structural relaxation.

a = 3.5142 Å, b = 17.9162 Å, c = 5.8327 Å
α = 90.00°, β = 90.00°, γ = 90.00°
Space group Cmcm (No. 63)
Asymmetric unit:
K (0.0000, 0.1127, 0.2500) (multiplicity 4)
Tl (0.0000, 0.2172, 0.7500) (multiplicity 4)
Tl (0.0000, 0.4441, 0.2500) (multiplicity 4)

Results
Energy of formation = -44 meV per atom
Energy relative to the lowest polymorph listed for this composition = 51 meV/atom

***

No. 15
DFT (PBEsol) results for MoPb after structural relaxation.

a = 3.1594 Å, b = 5.1032 Å, c = 4.8000 Å
α = 90.00°, β = 90.00°, γ = 90.00°
Space group Pmmn (No. 59, origin choice 2)
Asymmetric unit:
Mo (0.2500, 0.2500, 0.0910) (multiplicity 2)
Pb (0.2500, 0.7500, 0.3980) (multiplicity 2)

Results
Energy of formation = 798 meV per atom
Energy relative to the lowest polymorph listed for this composition = 16 meV/atom

***

No. 16
DFT (PBEsol) results for SiPbO3 after structural relaxation.

a = 11.1923 Å, b = 7.0375 Å, c = 12.9855 Å
α = 90.00°, β = 119.46°, γ = 90.00°
Space group P2/c (No. 13)
Asymmetric unit:
Si (0.0368, 0.1265, 0.1534) (multiplicity 4)
Si (0.2513, 0.1788, 0.5372) (multiplicity 4)
Si (0.3617, 0.4065, 0.3904) (multiplicity 4)
Pb (0.0626, 0.3825, 0.6525) (multiplicity 4)
Pb (0.3024, 0.3061, 0.0978) (multiplicity 4)
Pb (0.3734, 0.0589, 0.8259) (multiplicity 4)
O (0.0000, 0.2278, 0.2500) (multiplicity 2)
O (0.0994, 0.2927, 0.1065) (multiplicity 4)
O (0.1124, 0.0514, 0.4562) (multiplicity 4)
O (0.1382, 0.0541, 0.7102) (multiplicity 4)
O (0.2180, 0.3707, 0.5873) (multiplicity 4)
O (0.2531, 0.4229, 0.8316) (multiplicity 4)
O (0.3165, 0.2337, 0.4514) (multiplicity 4)
O (0.3624, 0.0432, 0.6433) (multiplicity 4)
O (0.4024, 0.2866, 0.3034) (multiplicity 4)
O (0.5000, 0.5000, 0.0000) (multiplicity 2)

Results
E_form (uncorrected) = -10.883 eV/f.u.

***

No. 17
DFT (PBEsol) results for AlCo2Se after structural relaxation.

a = 4.0255 Å, b = 4.0255 Å, c = 3.0312 Å
α = 90.00°, β = 90.00°, γ = 90.00°
Space group P4/mmm (No. 123)
Asymmetric unit:
Al (0.0000, 0.0000, 0.0000) (multiplicity 1)
Co (0.0000, 0.5000, 0.5000) (multiplicity 2)
Se (0.5000, 0.5000, 0.0000) (multiplicity 1)

Results
E_form (uncorrected) = -0.347 eV/f.u.
Energy relative to the lowest polymorph listed for this composition = 0 meV/atom

***

No. 18
DFT (PBEsol) results for NaTi2CdN after structural relaxation.

a = 5.3352 Å, b = 5.3352 Å, c = 4.0803 Å
α = 90.00°, β = 90.00°, γ = 90.00°
Space group P4/mmm (No. 123)
Asymmetric unit:
Na (0.0000, 0.0000, 0.0000) (multiplicity 1)
Ti (0.0000, 0.5000, 0.5000) (multiplicity 2)
Cd (0.5000, 0.5000, 0.5000) (multiplicity 1)
N (0.5000, 0.5000, 0.0000) (multiplicity 1)

Results
E_form (uncorrected) = 8.144 eV/f.u.

***

No. 19
DFT (PBEsol) results for YSc2W after structural relaxation.

a = 3.0338 Å, b = 4.6475 Å, c = 6.2281 Å
α = 90.00°, β = 103.09°, γ = 90.00°
Space group P2/m (No. 10)
Asymmetric unit:
Y (0.0000, 0.0000, 0.0000) (multiplicity 1)
Sc (0.4037, 0.5000, 0.7165) (multiplicity 2)
W (0.0000, 0.0000, 0.5000) (multiplicity 1)

Results
Energy of formation = 331 meV per atom
Energy relative to the lowest polymorph listed for this composition = 28 meV/atom

***

No. 20
DFT (PBEsol) results for KCd2Au after structural relaxation.

a = 4.7639 Å, b = 4.7639 Å, c = 17.7511 Å
α = 90.00°, β = 90.00°, γ = 120.00°
Space group R-3m (No. 166, hexagonal axes)
Asymmetric unit:
K (0.0000, 0.0000, 0.0000) (multiplicity 3)
Cd (0.0000, 0.0000, 0.1947) (multiplicity 6)
Au (0.0000, 0.0000, 0.5000) (multiplicity 3)

Results
Energy of formation = -143 meV per atom

***

Number 1: E -19.224 eV per cell. Number 2: E -30.051 eV per cell. Number 3: E -493.785 eV per cell. Number 4: E -79.617 eV per cell. Number 5: E -28.411 eV per cell. Number 6: E -42.887 eV per cell. Number 7: E -43.906 eV per cell. Number 8: E -222.330 eV per cell. Number 9: E -26.977 eV per cell. Number 10: E -79.455 eV per cell. Number 11: E -36.901 eV per cell. Number 12: E -35.292 eV per cell. Number 13: E -58.586 eV per cell. Number 14: E -26.099 eV per cell. Number 15: E -28.342 eV per cell. Number 16: E -436.516 eV per cell. Number 17: E -23.763 eV per cell. Number 18: E -19.624 eV per cell. Number 19: E -32.518 eV per cell. Number 20: E -24.074 eV per cell.